[1]
A geometry-optimized Rb3CoTe structure. Source: Alexandria via LeMat-Bulk, functional PBEsol.

```
Rb3CoTe
1.0
6.012 0.000 0.000
0.000 6.012 0.000
0.000 0.000 6.012
Rb Co Te
3 1 1
direct
0.000 0.000 0.500
0.000 0.500 0.000
0.500 0.000 0.000
0.000 0.000 0.000
0.500 0.500 0.500
```

Output
The space group is Pm-3m. As for the final energy: -2.50 eV per atom.

[2]
A geometry-optimized Ni2AgPC structure. Source: Alexandria via LeMat-Bulk, functional PBEsol.

```
Ni2AgPC
1.0
3.743 0.000 0.000
0.000 3.743 0.000
0.000 0.000 4.318
Ni Ag P C
2 1 1 1
direct
0.000 0.500 0.000
0.500 0.000 0.000
0.000 0.000 0.500
0.500 0.500 0.500
0.000 0.000 0.000
```

Output
The space group is P4/mmm. The calculation puts the energy relative to the elements at 236.9 kJ/mol of formula units. As for the final energy: -5.72 eV per atom.

[3]
A geometry-optimized KGeTeI2 structure. Source: Alexandria via LeMat-Bulk, functional PBEsol.

```
KGeTeI2
1.0
5.796 0.000 0.000
0.000 5.796 0.000
0.000 0.000 5.463
K Ge Te I
1 1 1 2
direct
0.000 0.000 0.000
0.500 0.500 0.500
0.500 0.500 0.000
0.000 0.500 0.500
0.500 0.000 0.500
```

Output
The space group is P4/mmm. As for the final energy: -3.09 eV per atom.